The following is a meta-GGA SCAN calculation of a PBEsol-optimized structure of ZrAs2Se, from the Alexandria database.

uncorrected formation energy = -0.43 eV/atom

The structure in POSCAR format:
```
ZrAs2Se
1.0
-1.3886 0.2888 3.2400
-2.1310 -2.5343 1.2431
4.9450 -4.4451 4.4460
As Se Zr
2 1 1
Direct
0.0038 0.0038 0.9886 As
0.7367 0.7367 0.7898 As
0.5105 0.5105 0.4686 Se
0.2490 0.2490 0.2530 Zr
```

***

The following is a meta-GGA SCAN calculation of a PBEsol-optimized structure of ScCoSeBr2, from the Alexandria database.

uncorrected formation energy = -0.52 eV/atom

The structure in POSCAR format:
```
ScCoSeBr2
1.0
5.1053 0.0000 0.0000
0.0000 5.1053 0.0000
0.0000 0.0000 5.2044
Co Sc Br Se
1 1 2 1
Direct
0.5000 0.5000 0.5000 Co
0.0000 0.0000 0.0000 Sc
0.5000 0.0000 0.0000 Br
0.0000 0.5000 0.0000 Br
0.0000 0.0000 0.5000 Se
```

***

The following is a meta-GGA SCAN calculation of a PBEsol-optimized structure of In2AsPPb, from the Alexandria database.

DFT formation energy = 494 meV per atom

The structure in POSCAR format:
```
In2AsPPb
1.0
4.7633 0.0000 0.0000
0.0000 5.3052 0.0000
0.0000 0.0000 5.3052
P As In Pb
1 1 2 1
Direct
0.5000 0.0000 0.0000 P
0.0000 0.0000 0.0000 As
0.0000 0.5000 0.0000 In
0.0000 0.0000 0.5000 In
0.5000 0.5000 0.5000 Pb
```

***

The following is a meta-GGA SCAN calculation of a PBEsol-optimized structure of Ta5Ga3, from the Alexandria database.

distance to the lowest polymorph of the same formula = 0 meV/atom
DFT formation energy = -329 meV per atom

The structure in POSCAR format:
```
Ta5Ga3
1.0
5.0633 0.0000 0.0000
2.5317 7.1818 0.0000
2.5317 0.0000 7.1818
Ta Ga
10 6
Direct
0.7500 0.5000 0.5000 Ta
0.4242 0.2976 0.8540 Ta
0.7218 0.8540 0.7024 Ta
0.2500 0.5000 0.5000 Ta
0.5758 0.7024 0.1460 Ta
0.7782 0.2976 0.1460 Ta
0.2782 0.1460 0.2976 Ta
0.2218 0.7024 0.8540 Ta
0.0758 0.1460 0.7024 Ta
0.9242 0.8540 0.2976 Ta
0.6656 0.1688 0.5000 Ga
0.8344 0.5000 0.8312 Ga
0.1656 0.5000 0.1688 Ga
0.7500 0.0000 0.0000 Ga
0.2500 0.0000 0.0000 Ga
0.3344 0.8312 0.5000 Ga
```

***

The following is a meta-GGA SCAN calculation of a PBEsol-optimized structure of K3Na4Si3BF22, from the Alexandria database.

uncorrected formation energy = -3.29 eV/atom

The structure in POSCAR format:
```
K3Na4Si3BF22
1.0
5.5254 0.0000 -0.0001
0.0000 9.2131 -0.0005
-2.7629 -4.6070 8.5436
Si F K Na B
3 22 3 4 1
Direct
0.7859 0.8017 0.5723 Si
0.4999 0.7100 0.9998 Si
0.2142 0.2294 0.4278 Si
0.5001 0.8965 0.0001 F
0.2276 0.4240 0.4537 F
0.7877 0.7874 0.1428 F
0.3637 0.1733 0.2878 F
0.3532 0.7871 0.1419 F
0.0641 0.2781 0.5670 F
0.5031 0.2778 0.5672 F
0.7727 0.9708 0.5469 F
0.9326 0.3335 0.8643 F
0.4997 0.5279 0.9996 F
0.2122 0.6449 0.8569 F
0.6467 0.6454 0.8578 F
0.2089 0.2265 0.0001 F
0.9359 0.7115 0.4331 F
0.0676 0.4688 0.1365 F
0.7908 0.2262 0.9995 F
0.7979 0.6271 0.5952 F
0.9248 0.1737 0.2876 F
0.4970 0.7110 0.4329 F
0.0752 0.8859 0.7125 F
0.6365 0.8855 0.7124 F
0.2019 0.0318 0.4045 F
0.3714 0.1493 0.7432 K
0.0000 0.9498 0.0000 K
0.6285 0.4062 0.2567 K
0.8576 0.4616 0.7152 Na
0.3266 0.6796 0.6541 Na
0.1424 0.7464 0.2847 Na
0.6735 0.0255 0.3460 Na
0.0000 0.3156 0.0001 B
```

***

The following is a meta-GGA SCAN calculation of a PBEsol-optimized structure of YNiH3SO7, from the Alexandria database.

calculated total energy = -530.87 eV for the cell shown

The structure in POSCAR format:
```
YNiH3SO7
1.0
-3.8484 4.9124 -2.9415
-5.8118 -4.1183 0.7259
-1.7661 4.1091 9.1728
O S Y Ni H
28 4 4 4 12
Direct
0.1284 0.2500 0.0123 O
0.7389 0.4208 0.0776 O
0.0479 0.9346 0.1923 O
0.4501 0.7500 0.0827 O
0.5479 0.5654 0.3077 O
0.2611 0.9208 0.9224 O
0.0499 0.2500 0.5827 O
0.2389 0.4208 0.4224 O
0.9521 0.0654 0.8077 O
0.2611 0.5792 0.9224 O
0.4521 0.4346 0.6923 O
0.4596 0.2500 0.1508 O
0.9596 0.2500 0.3492 O
0.4521 0.0654 0.6923 O
0.7611 0.5792 0.5776 O
0.7611 0.9208 0.5776 O
0.6284 0.2500 0.4877 O
0.7389 0.0792 0.0776 O
0.8716 0.7500 0.9877 O
0.3716 0.7500 0.5123 O
0.9521 0.4346 0.8077 O
0.0404 0.7500 0.6508 O
0.5479 0.9346 0.3077 O
0.2389 0.0792 0.4224 O
0.0479 0.5654 0.1923 O
0.9501 0.7500 0.4173 O
0.5404 0.7500 0.8492 O
0.5499 0.2500 0.9173 O
0.3787 0.7500 0.9448 S
0.6213 0.2500 0.0552 S
0.1213 0.2500 0.4448 S
0.8787 0.7500 0.5552 S
0.7369 0.2500 0.6965 Y
0.2631 0.7500 0.3035 Y
0.7631 0.7500 0.1965 Y
0.2369 0.2500 0.8035 Y
0.5000 0.5000 0.5000 Ni
0.0000 0.0000 0.0000 Ni
0.5000 0.0000 0.5000 Ni
0.0000 0.5000 0.0000 Ni
0.7652 0.7500 0.9221 H
0.0215 0.4466 0.2387 H
0.7348 0.2500 0.4221 H
0.9785 0.9466 0.7613 H
0.4785 0.9466 0.7387 H
0.2652 0.7500 0.5779 H
0.9785 0.5534 0.7613 H
0.2348 0.2500 0.0779 H
0.0215 0.0534 0.2387 H
0.5215 0.0534 0.2613 H
0.4785 0.5534 0.7387 H
0.5215 0.4466 0.2613 H
```

***

The following is a meta-GGA SCAN calculation of a PBEsol-optimized structure of Pr2WC2, from the Alexandria database.

DFT formation energy = -231 meV per atom

The structure in POSCAR format:
```
Pr2WC2
1.0
5.7895 0.0000 0.0000
0.0000 5.7895 0.0000
0.0000 0.0000 10.3944
Pr C W
8 8 4
Direct
0.1954 0.1954 0.3432 Pr
0.3046 0.6954 0.8432 Pr
0.8046 0.8046 0.3432 Pr
0.8046 0.8046 0.6568 Pr
0.3046 0.6954 0.1568 Pr
0.6954 0.3046 0.8432 Pr
0.1954 0.1954 0.6568 Pr
0.6954 0.3046 0.1568 Pr
0.0000 0.0000 0.8592 C
0.5000 0.0000 0.5000 C
0.5000 0.5000 0.3592 C
0.5000 0.0000 0.0000 C
0.0000 0.5000 0.5000 C
0.0000 0.5000 0.0000 C
0.0000 0.0000 0.1408 C
0.5000 0.5000 0.6408 C
0.8227 0.8227 0.0000 W
0.3227 0.6773 0.5000 W
0.1773 0.1773 0.0000 W
0.6773 0.3227 0.5000 W
```

***

The following is a meta-GGA SCAN calculation of a PBEsol-optimized structure of Li2ZnAu, from the Alexandria database.

DFT formation energy = -527 meV per atom

The structure in POSCAR format:
```
Li2ZnAu
1.0
3.9337 0.0000 0.0000
0.0000 3.9337 0.0000
-1.9668 -1.9668 3.6868
Zn Au Li
1 1 2
Direct
0.5000 0.5000 0.0000 Zn
0.7500 0.2500 0.5000 Au
0.2500 0.7500 0.5000 Li
0.0000 0.0000 0.0000 Li
```

***

Number 1: M_tot 1.3 μB/f.u., density 6.34 g cm⁻³, D(E_F) 2.5 states/eV/cell. Number 2: M_tot 2.2 μB/f.u., density 4.19 g cm⁻³, D(E_F) 4.2 states/eV/cell. Number 3: M_tot 0.0 μB/f.u., density 6.72 g cm⁻³, D(E_F) 2.7 states/eV/cell. Number 4: M_tot 0.0 μB/f.u., density 14.17 g cm⁻³, D(E_F) 8.6 states/eV/cell. Number 5: M_tot 0.4 μB/f.u., density 2.76 g cm⁻³, D(E_F) 0.0 states/eV/cell. Number 6: M_tot 2.0 μB/f.u., density 3.88 g cm⁻³, D(E_F) 0.0 states/eV/cell. Number 7: M_tot 0.0 μB/f.u., density 9.34 g cm⁻³, D(E_F) 9.2 states/eV/cell. Number 8: M_tot 0.0 μB/f.u., density 8.04 g cm⁻³, D(E_F) 1.3 states/eV/cell.